K2Na6In | PBE-GGA | relaxed

Geometry as CIF:
```
data_K2Na6In
_cell_length_a 7.155
_cell_length_b 7.155
_cell_length_c 18.001
_cell_angle_alpha 90.00
_cell_angle_beta 90.00
_cell_angle_gamma 90.00
_space_group_name_H-M_alt 'P 42/m n m'
_space_group_IT_number 136
_space_group_name_Hall '-P 4n 2n'
loop_
_atom_site_label
_atom_site_type_symbol
_atom_site_fract_x
_atom_site_fract_y
_atom_site_fract_z
K1 K 0.000 0.000 0.225
Na1 Na 0.204 0.204 0.500
Na2 Na 0.227 0.773 0.408
In1 In 0.000 0.000 0.000
```

K2NaIn | PBE-GGA | relaxed

Geometry as CIF:
```
data_K2NaIn
_cell_length_a 3.9062
_cell_length_b 3.9062
_cell_length_c 42.0508
_cell_angle_alpha 90.00
_cell_angle_beta 90.00
_cell_angle_gamma 120.00
_space_group_name_H-M_alt 'R -3 m'
_space_group_IT_number 166
_space_group_name_Hall '-R 3 2"'
loop_
_atom_site_label
_atom_site_type_symbol
_atom_site_fract_x
_atom_site_fract_y
_atom_site_fract_z
K1 K 0.0000 0.0000 0.0841
Na1 Na 0.0000 0.0000 0.5000
In1 In 0.0000 0.0000 0.0000
```

no.,formation energy from the elements (eV/atom)
1,0.13
2,0.20